{
  "formula": "BaScBr",
  "functional": "PBEsol",
  "state": "relaxed",
  "energy_ev_per_atom": -4.05,
  "magnetic_moment_mub_per_atom": 0.4549,
  "relative_energy_kj_per_mol_atoms": 0.0,
  "dos_at_fermi_per_ev_cell": 4.2,
  "lattice": [[3.605, 0.000, 0.000], [0.000, 3.605, 0.000], [-1.803, -1.803, 6.859]],
  "species": ["Sc", "Ba", "Br"],
  "frac_coords": [[0.305, 0.305, 0.609], [0.007, 0.007, 0.014], [0.688, 0.688, 0.377]]
}